No. 1
The following is a DFT calculation (PBE) of an optimized crystal structure of Tb2Pm2Nd2Y.

Cell and atoms, written as POSCAR:
```
Tb2Pm2Nd2Y
1.0
-2.5125 -1.3095 4.2697
-2.9192 -1.6460 -5.2975
4.6576 -6.6054 0.7148
Nd Tb Y Pm
2 2 1 2
direct
0.8575 0.7149 0.5723
0.1425 0.2851 0.4277
0.4288 0.8575 0.2854
0.5712 0.1425 0.7146
0.0000 0.0000 0.0000
0.2855 0.5711 0.8584
0.7145 0.4289 0.1416
```

Values from the calculation:
V in A^3/atom: 33.6
DFT total energy in eV per formula unit: -34.7
Energy of formation in meV per atom: 14


No. 2
The following is a DFT calculation (PBE) of an optimized crystal structure of TbPm2Nd4Y2.

Cell and atoms, written as POSCAR:
```
TbPm2Nd4Y2
1.0
-0.0817 2.9918 4.1938
1.5384 -7.6567 2.3273
7.0470 3.3406 -2.2459
Y Nd Pm Tb
2 4 2 1
direct
0.6666 0.3332 0.0000
0.3334 0.6668 0.0000
0.2220 0.4440 0.3324
0.4449 0.8899 0.6682
0.7780 0.5560 0.6676
0.5551 0.1101 0.3318
0.1111 0.2221 0.6681
0.8889 0.7779 0.3319
0.0000 0.0000 0.0000
```

Values from the calculation:
V in A^3/atom: 34.1
DFT total energy in eV per formula unit: -46.0
Energy of formation in meV per atom: 17


No. 3
The following is a DFT calculation (PBE) of an optimized crystal structure of TbPm6NdY2.

Cell and atoms, written as POSCAR:
```
TbPm6NdY2
1.0
9.2202 -1.9928 -2.0681
0.8400 8.6949 -2.0009
0.8400 -2.3218 8.6148
Pm Y Tb Nd
12 4 2 2
direct
0.5567 0.7600 0.1126
0.9433 0.8874 0.2400
0.3817 0.5146 0.2938
0.1183 0.7062 0.4854
0.6183 0.4854 0.7062
0.3156 0.9843 0.4351
0.8817 0.2938 0.5146
0.0567 0.1126 0.7600
0.1844 0.5649 0.0157
0.4433 0.2400 0.8874
0.6844 0.0157 0.5649
0.8156 0.4351 0.9843
0.5476 0.1979 0.2943
0.9524 0.7057 0.8021
0.4524 0.8021 0.7057
0.0476 0.2943 0.1979
0.7500 0.0319 0.9681
0.2500 0.9681 0.0319
0.2500 0.4076 0.5924
0.7500 0.5924 0.4076
```

Values from the calculation:
V in A^3/atom: 34.2
DFT total energy in eV per formula unit: -49.6
Energy of formation in meV per atom: 119


No. 4
The following is a DFT calculation (PBE) of an optimized crystal structure of TbPm6Nd3Y2.

Cell and atoms, written as POSCAR:
```
TbPm6Nd3Y2
1.0
-3.3077 0.1179 5.3745
3.7739 -4.8958 -1.2767
8.8387 7.1130 4.0489
Pm Y Nd Tb
6 2 3 1
direct
0.5849 0.9175 0.7532
0.4151 0.0825 0.2468
0.2503 0.2503 0.7532
0.9175 0.5849 0.7532
0.7497 0.7497 0.2468
0.0825 0.4151 0.2468
0.6666 0.3334 0.0000
0.3334 0.6666 0.0000
0.8333 0.1667 0.5000
0.1667 0.8333 0.5000
0.5000 0.5000 0.5000
0.0000 0.0000 0.0000
```

Values from the calculation:
V in A^3/atom: 34.1
DFT total energy in eV per formula unit: -60.2
Energy of formation in meV per atom: 14